4
Lattice="1.5900 0.9180 9.3459 -1.5900 0.9180 9.3459 0.0000 -1.8359 9.3459" Properties=species:S:1:pos:R:3 comment="Mg2TlIr, relaxed, DFT PBE" delta_e_f_ev_per_atom=0.165 sg="R3m (160)" volume_a3_per_cell=81.8 dft_energy_ev_per_atom=-3.4390 pbc="T T T"
Mg 0.0000 0.0000 0.0000
Mg 0.0000 0.0000 6.7144
Tl 0.0000 0.0000 13.4930
Ir 0.0000 0.0000 20.6266